No. 1
Computed, not measured: an optimized crystal structure of Ba2HgAs2 at the GGA-PBE level of DFT. Values from VASP.

Geometry as Quantum ESPRESSO input:
```
&SYSTEM
  ibrav = 0, nat = 10, ntyp = 3
/
ATOMIC_SPECIES
As 74.92 As.upf
Ba 137.33 Ba.upf
Hg 200.59 Hg.upf
CELL_PARAMETERS angstrom
4.563 0.000 0.000
2.281 6.483 -0.053
2.281 0.915 11.018
ATOMIC_POSITIONS angstrom
As 2.281 2.232 6.578
Ba 4.563 5.033 7.082
Ba 6.844 2.466 10.043
As 2.281 1.587 1.453
Ba 2.281 4.932 0.922
As 6.844 5.812 9.512
Hg 4.563 6.223 3.415
Hg 4.563 1.176 7.549
As 6.844 5.167 4.386
Ba 4.563 2.366 3.883
```

Values from the calculation:
M_tot ... 0.0 μB/cell
E ... -3.503 eV/atom



No. 2
Computed, not measured: an optimized crystal structure of BaHgAs at the GGA-PBE level of DFT. Values from VASP.

Geometry as Quantum ESPRESSO input:
```
&SYSTEM
  ibrav = 0, nat = 6, ntyp = 3
/
ATOMIC_SPECIES
Hg 200.59 Hg.upf
As 74.92 As.upf
Ba 137.33 Ba.upf
CELL_PARAMETERS angstrom
4.677 0.000 0.000
0.000 5.119 0.000
0.000 0.001 8.050
ATOMIC_POSITIONS angstrom
Hg 3.796 3.666 3.869
As 3.796 1.109 7.698
Ba 1.457 3.667 0.957
Hg 3.795 1.107 2.514
Ba 1.458 1.107 5.425
As 3.796 3.668 6.734
```

Values from the calculation:
M_tot ... 0.0 μB/cell
E ... -2.953 eV/atom



No. 3
Computed, not measured: an optimized crystal structure of Ba2HgAs at the GGA-PBE level of DFT. Values from VASP.

Geometry as Quantum ESPRESSO input:
```
&SYSTEM
  ibrav = 0, nat = 8, ntyp = 3
/
ATOMIC_SPECIES
Hg 200.59 Hg.upf
Ba 137.33 Ba.upf
As 74.92 As.upf
CELL_PARAMETERS angstrom
4.276 0.000 -0.735
0.000 5.599 0.001
-0.099 0.002 12.035
ATOMIC_POSITIONS angstrom
Hg 2.834 4.201 3.645
Ba 3.978 1.401 10.190
Hg 1.343 1.399 7.656
Ba 0.709 1.402 4.096
As 1.753 4.202 10.022
Ba 3.468 4.199 7.205
As 2.424 1.398 1.280
Ba 0.200 4.199 1.111
```

Values from the calculation:
M_tot ... 0.0 μB/cell
E ... -2.956 eV/atom



No. 4
Computed, not measured: an optimized crystal structure of Ba3HgAs at the GGA-PBE level of DFT. Values from VASP.

Geometry as Quantum ESPRESSO input:
```
&SYSTEM
  ibrav = 0, nat = 5, ntyp = 3
/
ATOMIC_SPECIES
Ba 137.33 Ba.upf
As 74.92 As.upf
Hg 200.59 Hg.upf
CELL_PARAMETERS angstrom
-4.831 2.794 3.073
-4.152 -3.136 -3.676
-0.100 -4.790 4.199
ATOMIC_POSITIONS angstrom
Ba -0.050 -2.395 2.100
As 0.000 0.000 0.000
Ba -2.416 1.397 1.536
Hg -4.542 -2.566 1.798
Ba -2.076 -1.568 -1.838
```

Values from the calculation:
M_tot ... 0.0 μB/cell
E ... -2.668 eV/atom



No. 5
Computed, not measured: an optimized crystal structure of Ba2HgAs2 at the GGA-PBE level of DFT. Values from VASP.

Geometry as Quantum ESPRESSO input:
```
&SYSTEM
  ibrav = 0, nat = 10, ntyp = 3
/
ATOMIC_SPECIES
Hg 200.59 Hg.upf
As 74.92 As.upf
Ba 137.33 Ba.upf
CELL_PARAMETERS angstrom
8.438 0.000 0.000
0.000 8.438 0.000
0.000 0.000 4.595
ATOMIC_POSITIONS angstrom
Hg 0.000 0.000 0.000
As 0.875 3.344 0.000
Hg 4.219 4.219 0.000
As 7.562 5.094 0.000
Ba 5.774 6.883 2.298
Ba 2.664 1.555 2.298
Ba 1.555 5.774 2.298
As 5.094 0.875 0.000
As 3.344 7.562 0.000
Ba 6.883 2.664 2.298
```

Values from the calculation:
M_tot ... 0.0 μB/cell
E ... -3.546 eV/atom



No. 6
Computed, not measured: an optimized crystal structure of BaHgAs at the GGA-PBE level of DFT. Values from VASP.

Geometry as Quantum ESPRESSO input:
```
&SYSTEM
  ibrav = 0, nat = 3, ntyp = 3
/
ATOMIC_SPECIES
Hg 200.59 Hg.upf
As 74.92 As.upf
Ba 137.33 Ba.upf
CELL_PARAMETERS angstrom
-2.071 -4.307 0.325
3.914 0.977 2.583
-2.752 1.593 3.567
ATOMIC_POSITIONS angstrom
Hg -2.210 -1.311 3.844
As -2.468 1.428 3.199
Ba 1.017 -0.262 3.000
```

Values from the calculation:
M_tot ... 0.0 μB/cell
E ... -2.927 eV/atom



No. 7
Computed, not measured: an optimized crystal structure of Ba2HgAs2 at the GGA-PBE level of DFT. Values from VASP.

Geometry as Quantum ESPRESSO input:
```
&SYSTEM
  ibrav = 0, nat = 5, ntyp = 3
/
ATOMIC_SPECIES
Ba 137.33 Ba.upf
Hg 200.59 Hg.upf
As 74.92 As.upf
CELL_PARAMETERS angstrom
6.159 0.000 0.000
0.000 6.159 0.000
3.080 3.080 4.991
ATOMIC_POSITIONS angstrom
Ba 3.080 6.159 2.496
Hg 0.000 0.000 0.000
As 6.159 6.159 3.721
As 3.080 3.080 1.271
Ba 6.159 3.080 2.496
```

Values from the calculation:
M_tot ... 0.0 μB/cell
E ... -3.331 eV/atom



No. 8
Computed, not measured: an optimized crystal structure of Ba3HgAs3 at the GGA-PBE level of DFT. Values from VASP.

Geometry as Quantum ESPRESSO input:
```
&SYSTEM
  ibrav = 0, nat = 28, ntyp = 3
/
ATOMIC_SPECIES
As 74.92 As.upf
Ba 137.33 Ba.upf
Hg 200.59 Hg.upf
CELL_PARAMETERS angstrom
6.983 0.000 0.000
-3.491 10.348 0.000
0.000 0.000 13.732
ATOMIC_POSITIONS angstrom
As 4.998 3.356 5.189
As -1.507 6.993 8.543
Ba 1.356 0.000 8.862
As -1.985 6.993 1.677
Ba 1.397 6.728 1.798
As 5.020 0.000 8.350
As 1.528 0.000 12.248
As 1.507 3.356 1.677
Ba -1.397 6.728 11.934
Hg 3.491 8.552 0.000
Hg 3.492 1.796 6.866
Ba 4.847 0.000 11.736
As 1.963 0.000 5.382
Hg 0.000 8.552 6.866
Ba 2.095 3.620 11.934
Ba 2.136 0.000 1.996
As 1.985 6.993 12.054
Ba 5.627 0.000 4.870
As 5.476 3.356 12.054
Hg 0.000 1.796 0.000
Ba 2.095 6.728 8.664
As 1.985 3.356 8.543
As 5.455 0.000 1.484
Ba 4.888 3.620 1.798
As 1.507 6.993 5.189
Ba -2.095 6.728 5.068
Ba 5.586 3.620 8.664
Ba 1.397 3.620 5.068
```

Values from the calculation:
M_tot ... 0.0 μB/cell
E ... -3.697 eV/atom